Compound: Li2ZnRe
Source: the Alexandria database
Functional: PBE
Structure: optimized geometry

Values from the calculation:
- SG = P4/mmm (123)
- ΔE_f (eV per atom) = 0.42
- total DFT energy (no corrections) (eV per atom) = -3.9678

Cell: 4.6309 4.6309 2.5364 Å, 90.00 90.00 90.00°
Last column: nearest neighbours and their distance in Å.
Sites, in units of the cell vectors:
Li 0.0000 0.5000 0.0000  2 Li 2.54, 4 Re 2.64, 4 Zn 2.64
Li 0.5000 0.0000 0.0000  2 Li 2.54, 4 Re 2.64, 4 Zn 2.64
Zn 0.0000 0.0000 0.5000  2 Zn 2.54, 8 Li 2.64
Re 0.5000 0.5000 0.5000  2 Re 2.54, 8 Li 2.64

=====

Compound: BaCdSi2
Source: the Alexandria database
Functional: PBE
Structure: optimized geometry

Values from the calculation:
- SG = P4/mmm (123)
- total DFT energy (no corrections) (eV per atom) = -3.3866
- E_form (uncorrected) (meV/atom) = 34

Cell: 3.8324 3.8324 6.9463 Å, 90.00 90.00 90.00°
Last column: nearest neighbours and their distance in Å.
Sites, in units of the cell vectors:
Ba 0.0000 0.0000 0.0000  2 Cd 3.47, 8 Si 3.56, 4 Ba 3.83
Cd 0.0000 0.0000 0.5000  8 Si 2.95
Si 0.5000 0.5000 0.3313  1 Si 2.34
Si 0.5000 0.5000 0.6687  1 Si 2.34